(1)
6
Lattice="4.277 0.000 0.000 -2.139 3.704 0.000 0.000 0.000 11.219" Properties=species:S:1:pos:R:3 comment="PBE ThGaSe, optimized geometry" e_tot_ev_per_atom=-5.74 formation_energy_uncorrected_ev_per_atom=-1.100 space_group="P-3m1 (164)" pbc="T T T"
Th 0.000 0.000 8.990
Th 0.000 0.000 2.229
Ga 0.000 2.469 10.889
Ga 2.139 1.235 0.329
Se 2.139 1.235 7.442
Se 0.000 2.469 3.776

=====

(2)
10
Lattice="8.801 0.000 4.670 3.161 8.213 4.670 2.189 1.503 6.503" Properties=species:S:1:pos:R:3 comment="PBE LaNd6Tm3, optimized geometry" formation_enthalpy_0k_ev_per_atom=0.2273 e_tot_ev_per_atom=-4.47 space_group="R32 (155)" pbc="T T T"
La 11.423 7.843 10.356
Nd 10.374 5.118 8.808
Nd 5.541 7.843 7.236
Nd 6.390 2.354 5.687
Nd 3.651 4.489 7.408
Nd 8.383 1.795 8.938
Nd 7.572 7.178 10.469
Tm 6.536 4.488 8.938
Tm 7.859 5.396 6.445
Tm 3.024 2.076 4.929

=====

(3)
4
Lattice="3.367 0.000 0.000 0.000 3.367 0.000 0.000 0.000 6.239" Properties=species:S:1:pos:R:3 comment="PBE AgBiRh2, optimized geometry" formation_enthalpy_0k_ev_per_atom=0.1375 e_tot_ev_per_atom=-5.22 space_group="P4/mmm (123)" pbc="T T T"
Rh 0.000 0.000 4.679
Rh 0.000 0.000 1.560
Bi 1.684 1.684 0.000
Ag 1.684 1.684 3.119

=====

(4)
14
Lattice="7.940 0.000 -2.599 -4.024 6.733 -2.877 0.107 0.000 8.354" Properties=species:S:1:pos:R:3 comment="PBE Tb5Ho8Cd, optimized geometry" formation_enthalpy_0k_ev_per_atom=0.2036 e_tot_ev_per_atom=-4.13 space_group="I-4 (82)" pbc="T T T"
Tb -1.065 2.088 0.126
Tb 3.347 6.011 -3.317
Tb 3.798 4.645 1.829
Tb 4.024 0.000 2.877
Tb 1.967 0.722 7.117
Ho -1.585 4.890 -1.959
Ho 7.071 0.671 2.791
Ho 4.828 1.736 0.188
Ho 3.754 2.656 4.818
Ho 1.750 4.077 -0.883
Ho 0.904 6.062 2.912
Ho 1.658 1.843 2.010
Ho -2.285 4.997 1.631
Cd 0.054 3.366 4.177

=====

(5)
11
Lattice="-4.029 -4.209 4.810 3.396 -4.518 -4.687 6.370 1.690 3.237" Properties=species:S:1:pos:R:3 comment="PBE PuCu2Cl8, optimized geometry" e_tot_ev_per_atom=-4.40 formation_energy_uncorrected_ev_per_atom=-1.007 space_group="C2/m (12)" pbc="T T T"
Cl 0.446 -2.502 -0.572
Cl 4.279 -6.646 1.236
Cl 7.730 -3.464 -0.188
Cl -1.994 -3.573 3.548
Cl 1.458 -0.391 2.124
Cl 5.291 -4.535 3.932
Cl 1.715 -4.223 2.665
Cl 4.022 -2.814 0.695
Cu 3.886 -4.545 2.102
Cu 1.851 -2.492 1.258
Pu 0.000 0.000 0.000

=====

(6)
5
Lattice="-0.396 1.294 -3.366 -3.565 -0.648 0.170 -0.614 3.774 1.523" Properties=species:S:1:pos:R:3 comment="PBE TaMn2FeH, optimized geometry" e_tot_ev_per_atom=-8.39 space_group="P4/mmm (123)" pbc="T T T"
H 0.000 0.000 0.000
Mn -1.782 -0.324 0.085
Mn -0.198 0.647 -1.683
Fe -2.287 2.210 -0.836
Ta -0.307 1.887 0.761

=====

(7)
8
Lattice="-1.545 2.592 -2.002 0.973 -1.800 -3.080 -9.526 -5.514 0.213" Properties=species:S:1:pos:R:3 comment="PBE KCuCN, optimized geometry" e_tot_ev_per_atom=-5.45 formation_energy_uncorrected_ev_per_atom=0.234 space_group="Amm2 (38)" pbc="T T T"
K -7.052 -2.927 -0.517
K -1.803 -1.069 -2.164
C -5.223 -0.127 -1.575
C -9.500 -3.784 -3.009
Cu -10.581 -3.230 -1.454
Cu -5.331 -1.373 -3.101
N -4.165 0.487 -1.600
N -8.441 -3.170 -3.034

=====

(8)
10
Lattice="-1.991 1.693 -4.367 3.200 -2.973 -2.611 -7.616 -8.391 0.220" Properties=species:S:1:pos:R:3 comment="PBE Rb2In4SbAu3, optimized geometry" e_tot_ev_per_atom=-2.94 formation_energy_uncorrected_ev_per_atom=-0.257 space_group="P-4m2 (115)" pbc="T T T"
Rb -2.920 -1.274 -2.128
Rb -4.091 -7.757 -1.141
In 0.604 -0.640 -3.489
In 0.000 0.000 0.000
In -5.844 -4.496 -2.043
In -1.167 -4.535 -1.226
Sb -3.203 -4.835 -3.379
Au -3.808 -4.195 0.110
Au -7.722 -6.564 -1.989
Au 0.710 -2.467 -1.280